The following is a DFT calculation (GGA-PBE) of PmAlOs after structural relaxation.

SG: Imma, No. 74
Electronic total energy (eV per atom): -6.945
Formation energy (kJ per mole of atoms): -35.7
ΔE to the lowest computed polymorph (meV per atom): 0

extended XYZ file:
```
6
Lattice="-2.7385 2.8045 3.7620 2.7385 -2.8045 3.7620 2.7385 2.8045 -3.7620" Properties=species:S:1:pos:R:3 pbc="T T T"
Pm 0.0000 1.4022 0.8744
Pm 2.7385 1.4022 2.8876
Al 2.7385 0.0000 0.0000
Al 0.0000 0.0000 3.7620
Os 1.3692 1.4022 -1.8810
Os 1.3692 -1.4022 1.8810
```